Material: La2Cd2Te
Method: DFT, GGA-PBE
State: relaxed

Cell lengths 8.354, 8.354, 4.864 Å; angles 90.00, 90.00, 90.00 degrees
Sites, in units of the cell vectors:
1 La 0.161 0.339 0.000
2 La 0.339 0.839 0.000
3 La 0.661 0.161 0.000
4 La 0.839 0.661 0.000
5 Cd 0.133 0.633 0.500
6 Cd 0.367 0.133 0.500
7 Cd 0.633 0.867 0.500
8 Cd 0.867 0.367 0.500
9 Te 0.000 0.000 0.000
10 Te 0.500 0.500 0.000

Values from the calculation:
Space group   P4/mbm (127)
Electronic total energy   -3.503 eV per atom
Energy above the lowest structure with this stoichiometry   0 meV/atom
D(E_F)   1.0244 states/eV/atom
Formation energy without anion corrections   -537 meV/atom

***

Material: LiGdYIn
Method: DFT, GGA-PBE
State: relaxed

Cell lengths 5.296, 5.296, 5.296 Å; angles 60.00, 60.00, 60.00 degrees
Sites, in units of the cell vectors:
1 Li 0.000 0.000 0.000
2 Gd 0.250 0.250 0.250
3 Y 0.750 0.750 0.750
4 In 0.500 0.500 0.500

Values from the calculation:
Space group   F-43m (216)
Electronic total energy   -6.593 eV per atom
D(E_F)   0.7510 states/eV/atom
Calculated formation energy   -0.2937 eV per atom

***

Material: CsGa2Br6
Method: DFT, GGA-PBE
State: relaxed

Cell lengths 10.424, 10.424, 8.410 Å; angles 110.66, 110.66, 81.28 degrees
Sites, in units of the cell vectors:
1 Cs 0.198 0.802 0.750
2 Cs 0.802 0.198 0.250
3 Ga 0.216 0.367 0.231
4 Ga 0.367 0.216 0.731
5 Ga 0.633 0.784 0.269
6 Ga 0.784 0.633 0.769
7 Br 0.065 0.562 0.284
8 Br 0.089 0.163 0.074
9 Br 0.163 0.089 0.574
10 Br 0.356 0.372 0.038
11 Br 0.372 0.356 0.538
12 Br 0.438 0.935 0.216
13 Br 0.562 0.065 0.784
14 Br 0.628 0.644 0.462
15 Br 0.644 0.628 0.962
16 Br 0.837 0.911 0.426
17 Br 0.911 0.837 0.926
18 Br 0.935 0.438 0.716

Values from the calculation:
Space group   C2/c (15)
Electronic total energy   -2.850 eV per atom
D(E_F)   0.2483 states/eV/atom
Formation energy without anion corrections   -967 meV/atom